Arrangement A

A plane-wave DFT calculation with PBE was carried out for a relaxed structure of Sm2TlH2.

The space group is C2/c (No. 15) and the conventional cell measures 6.333, 10.196 and 6.609 Å, with angles of 90.00, 118.50 and 90.00 degrees. Symmetry generates all atoms from Sm at (0.000, 0.054, 0.250), Sm at (0.000, 0.306, 0.750), Tl at (0.000, 0.375, 0.250) and H at (0.119, 0.126, 0.990).

The value obtained for the spin magnetization is 0.000 μB/f.u. The value obtained for the density of states at the Fermi level is 11.06 states/eV per cell. The crystal system is monoclinic.


Arrangement B

A plane-wave DFT calculation with PBE was carried out for a relaxed structure of Sm2TlH2.

The space group is I4/mmm (No. 139) and the conventional cell measures 3.950, 3.950 and 12.116 Å, with angles of 90.00, 90.00 and 90.00 degrees. Symmetry generates all atoms from Sm at (0.000, 0.000, 0.151), Tl at (0.000, 0.000, 0.500) and H at (0.000, 0.500, 0.250).

The value obtained for the spin magnetization is 0.000 μB/f.u. The value obtained for the density of states at the Fermi level is 4.52 states/eV per cell. The crystal system is tetragonal.


Of them, arrangement B has the highest stability.


Arrangement A

A plane-wave DFT calculation with PBE was carried out for a relaxed structure of SmTmH.

The space group is P2_13 (No. 198) and the conventional cell measures 6.409, 6.409 and 6.409 Å, with angles of 90.00, 90.00 and 90.00 degrees. Symmetry generates all atoms from Sm at (0.154, 0.346, 0.654), Tm at (0.147, 0.147, 0.147) and H at (0.161, 0.661, 0.839).

The value obtained for the spin magnetization is 0.000 μB/f.u. The value obtained for the density of states at the Fermi level is 10.43 states/eV per cell. The crystal system is cubic.


Arrangement B

A plane-wave DFT calculation with PBE was carried out for a relaxed structure of SmTmH.

The space group is P3m1 (No. 156) and the conventional cell measures 3.6245, 3.6245 and 5.6353 Å, with angles of 90.00, 90.00 and 120.00 degrees. Symmetry generates all atoms from Sm at (0.0000, 0.0000, 0.0000), Tm at (0.3333, 0.6667, 0.4877) and H at (0.6667, 0.3333, 0.2571).

The value obtained for the spin magnetization is 0.000 μB/f.u. The value obtained for the density of states at the Fermi level is 2.97 states/eV per cell. The crystal system is trigonal.


Arrangement C

A plane-wave DFT calculation with PBE was carried out for a relaxed structure of SmTmH.

The space group is I4mm (No. 107) and the conventional cell measures 3.387, 3.387 and 12.049 Å, with angles of 90.00, 90.00 and 90.00 degrees. Symmetry generates all atoms from Sm at (0.000, 0.000, 0.000), Tm at (0.000, 0.000, 0.291) and H at (0.000, 0.000, 0.473).

The value obtained for the spin magnetization is 0.000 μB/f.u. The value obtained for the density of states at the Fermi level is 5.90 states/eV per cell. The crystal system is tetragonal.


Of them, arrangement B has the highest stability.


Arrangement A

A plane-wave DFT calculation with PBE was carried out for a relaxed structure of SmTmH2.

The space group is R3m (No. 160, hexagonal axes) and the conventional cell measures 3.4958, 3.4958 and 17.7288 Å, with angles of 90.00, 90.00 and 120.00 degrees. Symmetry generates all atoms from Sm at (0.0000, 0.0000, 0.0000), Tm at (0.0000, 0.0000, 0.1797), H at (0.0000, 0.0000, 0.5815) and H at (0.0000, 0.0000, 0.7780).

The value obtained for the spin magnetization is 0.000 μB/f.u. The value obtained for the density of states at the Fermi level is 5.23 states/eV per cell. The crystal system is trigonal.


Arrangement B

A plane-wave DFT calculation with PBE was carried out for a relaxed structure of SmTmH2.

The space group is R-3m (No. 166, hexagonal axes) and the conventional cell measures 3.4987, 3.4987 and 17.0328 Å, with angles of 90.00, 90.00 and 120.00 degrees. Symmetry generates all atoms from Sm at (0.0000, 0.0000, 0.0000), Tm at (0.0000, 0.0000, 0.5000) and H at (0.0000, 0.0000, 0.2443).

The value obtained for the spin magnetization is 0.000 μB/f.u. The value obtained for the density of states at the Fermi level is 6.69 states/eV per cell. The crystal system is trigonal.


Of them, arrangement B has the highest stability.


Arrangement A

A plane-wave DFT calculation with PBE was carried out for a relaxed structure of SmY2H.

The space group is R3m (No. 160, hexagonal axes) and the conventional cell measures 3.6145, 3.6145 and 25.9813 Å, with angles of 90.00, 90.00 and 120.00 degrees. Symmetry generates all atoms from Sm at (0.0000, 0.0000, 0.0000), Y at (0.0000, 0.0000, 0.2193), Y at (0.0000, 0.0000, 0.4454) and H at (0.0000, 0.0000, 0.8335).

The value obtained for the spin magnetization is 0.000 μB/f.u. The value obtained for the density of states at the Fermi level is 13.81 states/eV per cell. The crystal system is trigonal.


Arrangement B

A plane-wave DFT calculation with PBE was carried out for a relaxed structure of SmY2H.

The space group is R-3m (No. 166, hexagonal axes) and the conventional cell measures 3.6205, 3.6205 and 25.8122 Å, with angles of 90.00, 90.00 and 120.00 degrees. Symmetry generates all atoms from Sm at (0.0000, 0.0000, 0.0000), Y at (0.0000, 0.0000, 0.2203) and H at (0.0000, 0.0000, 0.5000).

The value obtained for the spin magnetization is 0.000 μB/f.u. The value obtained for the density of states at the Fermi level is 8.03 states/eV per cell. The crystal system is trigonal.


Of them, arrangement B has the highest stability.